{"formula": "PrPuNi2O6", "functional": "GGA+U", "state": "optimized geometry", "cell": [[2.763, 1.595, 4.847], [-2.763, 1.595, 4.847], [0.000, -3.190, 4.847]], "species": ["Pr", "Pu", "Ni", "Ni", "O", "O", "O", "O", "O", "O"], "fractional_positions": [[0.000, 0.000, 0.000], [0.481, 0.481, 0.481], [0.274, 0.274, 0.274], [0.786, 0.786, 0.786], [0.070, 0.634, 0.439], [0.177, 0.551, 0.898], [0.439, 0.070, 0.634], [0.551, 0.898, 0.177], [0.634, 0.439, 0.070], [0.898, 0.177, 0.551]], "vol_a3_per_cell": 128, "energy_ev_per_atom": -7.5746, "n_ef_per_ev_atom": 0.9040}